Entry 1:
First-principles (PBE) data for LiFeRu3 after structural relaxation, as listed in the Alexandria database.

Summary:
Formation energy, eV per atom: 1.22
Space group: No. 221

```
5
Lattice="4.013 0.000 0.000 0.000 4.013 0.000 0.000 0.000 4.013" Properties=species:S:1:pos:R:3 pbc="T T T"
Li 0.000 0.000 0.000
Fe 2.007 2.007 2.007
Ru 0.000 0.000 2.007
Ru 0.000 2.007 0.000
Ru 2.007 0.000 0.000
```

=====

Entry 2:
First-principles (PBE) data for BeCuNiBr2 after structural relaxation, as listed in the Alexandria database.

Summary:
Raw formation energy, eV per formula unit: 4.0
Space group: No. 123

```
5
Lattice="4.795 0.000 0.000 0.000 4.795 0.000 0.000 0.000 4.697" Properties=species:S:1:pos:R:3 pbc="T T T"
Be 0.000 0.000 0.000
Cu 2.397 2.397 0.000
Ni 2.397 2.397 2.348
Br 0.000 2.397 2.348
Br 2.397 0.000 2.348
```

=====

Entry 3:
First-principles (PBE) data for LiAl2Cd after structural relaxation, as listed in the Alexandria database.

Summary:
Formation energy, eV per atom: 0.04
Space group: No. 160

```
12
Lattice="3.017 0.000 0.000 -1.509 2.613 0.000 0.000 0.000 28.048" Properties=species:S:1:pos:R:3 pbc="T T T"
Li 0.000 0.000 0.000
Li 0.000 1.742 18.699
Li 1.509 0.871 9.349
Al 0.000 0.000 11.556
Al 0.000 0.000 16.443
Al 0.000 1.742 2.206
Al 0.000 1.742 7.094
Al 1.509 0.871 20.905
Al 1.509 0.871 25.793
Cd 0.000 0.000 4.641
Cd 0.000 1.742 23.340
Cd 1.509 0.871 13.991
```

=====

Entry 4:
First-principles (PBE) data for TlCd3 after structural relaxation, as listed in the Alexandria database.

Summary:
Formation energy, eV per atom: 0.08
Space group: No. 139

```
8
Lattice="4.788 0.000 0.000 0.000 4.788 0.000 0.000 0.000 8.849" Properties=species:S:1:pos:R:3 pbc="T T T"
Tl 0.000 0.000 0.000
Tl 2.394 2.394 4.424
Cd 0.000 0.000 4.424
Cd 0.000 2.394 2.212
Cd 0.000 2.394 6.637
Cd 2.394 0.000 2.212
Cd 2.394 0.000 6.637
Cd 2.394 2.394 0.000
```

=====

Entry 5:
First-principles (PBE) data for ReIrOs after structural relaxation, as listed in the Alexandria database.

Summary:
Energy relative to the lowest polymorph listed for this composition, meV/atom: 309
Formation energy, eV per atom: 0.26
Space group: No. 24

```
12
Lattice="5.128 0.000 0.000 0.000 5.330 0.000 0.000 0.000 6.673" Properties=species:S:1:pos:R:3 pbc="T T T"
Re 0.000 1.333 0.816
Re 0.000 3.998 2.520
Re 2.564 1.333 5.857
Re 2.564 3.998 4.153
Ir 1.282 1.833 3.336
Ir 1.282 3.497 0.000
Ir 3.846 0.832 3.336
Ir 3.846 4.498 0.000
Os 0.486 0.000 5.005
Os 2.078 0.000 1.668
Os 3.050 2.665 1.668
Os 4.641 2.665 5.005
```

=====

Entry 6:
First-principles (PBE) data for SrReW2 after structural relaxation, as listed in the Alexandria database.

Summary:
Energy relative to the lowest polymorph listed for this composition, meV/atom: 61
Formation energy, eV per atom: 0.81
Space group: No. 10

```
4
Lattice="3.009 0.000 0.000 0.000 3.898 0.000 -0.714 0.000 7.433" Properties=species:S:1:pos:R:3 pbc="T T T"
Sr 0.000 0.000 0.000
Re -0.357 0.000 3.717
W 0.867 1.949 4.920
W 1.427 1.949 2.513
```